A geometry-optimized Sc2Fe3W4C3 structure, computed with PBE-GGA.

Cell: 9.1295 5.2664 13.6114 Å, 90.00 103.34 90.00°
Closest atoms and distances in Å follow each position.
Space group C2/c (No. 15)
Unique sites:
Sc1 0.0412 0.0830 0.3798 x8  3 C 2.36-2.38
Fe1 0.0000 0.4209 0.7500 x4  4 Fe 2.63-2.64, 4 W 2.66-2.67
Fe2 0.2461 0.1610 0.7507 x8  4 Fe 2.63-2.64, 4 W 2.63-2.67
W1 0.1112 0.4056 0.5862 x8  3 C 2.06-2.15
W2 0.2262 0.4197 0.9139 x8  3 C 2.06-2.15
C1 0.0828 0.2482 0.0001 x8  4 W 2.06-2.15
C2 0.2500 0.2500 0.5000 x4  4 W 2.08

Properties
Spin magnetization, μB per formula unit: 5.537
Electronic total energy, eV/atom: -9.95

A geometry-optimized Y2Sc4Fe3C3 structure, computed with PBE-GGA.

Cell: 10.0259 5.7839 14.1839 Å, 90.00 104.26 90.00°
Closest atoms and distances in Å follow each position.
Space group C2/c (No. 15)
Unique sites:
Y1 0.0429 0.0816 0.3871 x8  3 C 2.49
Sc1 0.1132 0.4130 0.5857 x8  3 C 2.25-2.26
Sc2 0.2221 0.4188 0.9142 x8  3 C 2.25-2.26
Fe1 0.0000 0.4109 0.7500 x4  4 Sc 2.80-2.83, 4 Fe 2.85-2.94
Fe2 0.2463 0.1642 0.7499 x8  4 Sc 2.78-2.82, 4 Fe 2.85-2.94
C1 0.0848 0.2540 0.0002 x8  4 Sc 2.25-2.26, 2 Y 2.49
C2 0.2500 0.2500 0.5000 x4  4 Sc 2.25, 2 Y 2.49

Properties
Spin magnetization, μB per formula unit: 5.128
Electronic total energy, eV/atom: -7.70

A geometry-optimized Sc4ZnFeC2 structure, computed with PBE-GGA.

Cell: 3.2710 3.2710 14.2249 Å, 90.00 90.00 120.00°
Closest atoms and distances in Å follow each position.
Space group P-6m2 (No. 187)
Unique sites:
Sc1 0.0000 0.0000 0.1495 x2  3 C 2.29
Sc2 0.6667 0.3333 0.3255 x2  3 C 2.25
Zn1 0.0000 0.0000 0.5000 x1  6 Sc 3.12, 6 Zn 3.27
Fe1 0.6667 0.3333 0.0000 x1  6 Sc 2.84
C1 0.3333 0.6667 0.2401 x2  6 Sc 2.25-2.29

Properties
Spin magnetization, μB per formula unit: 2.503
Electronic total energy, eV/atom: -6.88

A geometry-optimized Zr4Sc2Fe3C3 structure, computed with PBE-GGA.

Cell: 9.8828 5.7100 13.9727 Å, 90.00 104.21 90.00°
Closest atoms and distances in Å follow each position.
Space group C2/c (No. 15)
Unique sites:
Zr1 0.1153 0.0904 0.0925 x8  3 C 2.26-2.29
Zr2 0.2202 0.0840 0.4064 x8  3 C 2.25-2.32
Sc1 0.0455 0.4194 0.8946 x8  3 C 2.36-2.39
Fe1 0.0000 0.2115 0.2500 x4  2 Fe 2.30
Fe2 0.2128 0.3730 0.2492 x8  1 Fe 2.30
C1 0.0845 0.2488 0.5026 x8  4 Zr 2.25-2.32, 2 Sc 2.36-2.39
C2 0.2500 0.2500 0.0000 x4  4 Zr 2.26-2.29, 2 Sc 2.39

Properties
Spin magnetization, μB per formula unit: 3.700
Electronic total energy, eV/atom: -8.55

A geometry-optimized Fe4SnC2Se structure, computed with PBE-GGA.

Cell: 3.0493 3.0493 11.7795 Å, 90.00 90.00 120.00°
Closest atoms and distances in Å follow each position.
Space group P-6m2 (No. 187)
Unique sites:
Fe1 0.0000 0.0000 0.1667 x2  3 C 1.99
Fe2 0.6667 0.3333 0.3178 x2  3 C 1.96
Sn1 0.0000 0.0000 0.5000 x1  6 Fe 2.78, 6 Sn 3.05
C1 0.3333 0.6667 0.2454 x2  6 Fe 1.96-1.99
Se1 0.6667 0.3333 0.0000 x1  6 Fe 2.64

Properties
Spin magnetization, μB per formula unit: 4.366
Electronic total energy, eV/atom: -7.20

A geometry-optimized TlFe4C2Se structure, computed with PBE-GGA.

Cell: 3.0525 3.0525 11.9825 Å, 90.00 90.00 120.00°
Closest atoms and distances in Å follow each position.
Space group P-6m2 (No. 187)
Unique sites:
Tl1 0.0000 0.0000 0.0000 x1  6 Fe 2.90, 6 Tl 3.05
Fe1 0.0000 0.0000 0.3395 x2  3 C 2.02
Fe2 0.3333 0.6667 0.1920 x2  3 C 1.93
C1 0.6667 0.3333 0.2578 x2  6 Fe 1.93-2.02
Se1 0.3333 0.6667 0.5000 x1  6 Fe 2.61

Properties
Spin magnetization, μB per formula unit: 4.342
Electronic total energy, eV/atom: -6.94

A geometry-optimized Fe2SiC structure, computed with PBE-GGA.

Cell: 5.0184 5.2768 7.1518 Å, 90.00 90.00 90.00°
Closest atoms and distances in Å follow each position.
Space group Pnma (No. 62)
Unique sites:
Fe1 0.0703 0.0131 0.1983 x8  2 C 1.87-1.94
Si1 0.2489 0.2500 0.9225 x4  1 C 1.88
C1 0.1358 0.7500 0.6728 x4  4 Fe 1.87-1.94, 1 Si 1.88

Properties
Spin magnetization, μB per formula unit: 1.803
Electronic total energy, eV/atom: -7.61

A geometry-optimized Fe6Si2C structure, computed with PBE-GGA.

Cell: 6.1693 6.1693 2.8851 Å, 90.00 90.00 120.00°
Closest atoms and distances in Å follow each position.
Space group P-62m (No. 189)
Unique sites:
Fe1 0.0000 0.2365 0.0000 x3  2 C 2.05
Fe2 0.0000 0.6087 0.5000 x3  4 Si 2.39, 1 C 2.41, 4 Fe 2.55
Si1 0.3333 0.6667 0.0000 x2  9 Fe 2.39-2.41
C1 0.0000 0.0000 0.5000 x1  6 Fe 2.05

Properties
Spin magnetization, μB per formula unit: 11.796
Electronic total energy, eV/atom: -7.97

A geometry-optimized Tb2FeSi2WC structure, computed with PBE-GGA.

Cell: 10.8920 3.8411 7.0321 Å, 90.00 127.19 90.00°
Closest atoms and distances in Å follow each position.
Space group Cm (No. 8)
Unique sites:
Tb1 0.0000 0.0000 0.0000 x2  2 C 2.60
Tb2 0.1411 0.0000 0.5948 x2  2 C 2.58
Fe1 0.2747 0.5000 0.3804 x2  1 C 1.84
Si1 0.2002 0.5000 0.9730 x2  1 Fe 2.46, 2 W 2.49, 1 Si 2.58
Si2 0.4147 0.0000 0.6043 x2  2 Fe 2.36, 1 W 2.48, 1 Si 2.58
W1 0.3696 0.0000 0.2136 x2  1 C 1.98
C1 0.0802 0.5000 0.3036 x2  1 Fe 1.84, 1 W 1.98

Properties
Spin magnetization, μB per formula unit: 0.641
Electronic total energy, eV/atom: -7.78

A geometry-optimized TbZrFe2Si2C structure, computed with PBE-GGA.

Cell: 10.3614 3.8183 6.6209 Å, 90.00 128.82 90.00°
Closest atoms and distances in Å follow each position.
Space group Cm (No. 8)
Unique sites:
Tb1 0.0000 0.0000 0.0000 x2  2 C 2.57
Zr1 0.1229 0.0000 0.5858 x2  2 C 2.44
Fe1 0.2660 0.5000 0.3882 x2  1 C 1.79
Fe2 0.3594 0.0000 0.1998 x2  1 C 1.79
Si1 0.2175 0.5000 0.9917 x2  3 Fe 2.27-2.34
Si2 0.4050 0.0000 0.5871 x2  3 Fe 2.25-2.30
C1 0.0672 0.5000 0.3115 x2  2 Fe 1.79

Properties
Spin magnetization, μB per formula unit: 0.009
Electronic total energy, eV/atom: -7.80

A geometry-optimized U6Fe16Si7C structure, computed with PBE-GGA.

Cell: 11.6117 11.6117 11.6117 Å, 90.00 90.00 90.00°
Closest atoms and distances in Å follow each position.
Space group Fm-3m (No. 225)
Unique sites:
U1 0.0000 0.0000 0.2145 x24  1 C 2.49, 4 Fe 2.76
Fe1 0.1225 0.1225 0.3775 x32  4 Si 2.46-2.53, 3 Fe 2.50
Fe2 0.1750 0.1750 0.1750 x32  3 Si 2.38, 6 Fe 2.46-2.50
Si1 0.0000 0.0000 0.5000 x4  8 Fe 2.46
Si2 0.0000 0.2500 0.2500 x24  8 Fe 2.38-2.53
C1 0.0000 0.0000 0.0000 x4  6 U 2.49

Properties
Spin magnetization, μB per formula unit: 0.007
Electronic total energy, eV/atom: -8.67

A geometry-optimized Fe3SnC structure, computed with PBE-GGA.

Cell: 3.8852 3.8852 3.8852 Å, 90.00 90.00 90.00°
Closest atoms and distances in Å follow each position.
Space group Pm-3m (No. 221)
Unique sites:
Fe1 0.0000 0.0000 0.5000 x3  2 C 1.94
Sn1 0.5000 0.5000 0.5000 x1  12 Fe 2.75
C1 0.0000 0.0000 0.0000 x1  6 Fe 1.94

Properties
Spin magnetization, μB per formula unit: 4.632
Electronic total energy, eV/atom: -7.57

A geometry-optimized Ta4FeSnC2 structure, computed with PBE-GGA.

Cell: 3.1333 3.1333 13.6816 Å, 90.00 90.00 120.00°
Closest atoms and distances in Å follow each position.
Space group P-6m2 (No. 187)
Unique sites:
Ta1 0.0000 0.0000 0.1435 x2  3 C 2.20
Ta2 0.6667 0.3333 0.3262 x2  3 C 2.20
Fe1 0.6667 0.3333 0.0000 x1  6 Ta 2.67
Sn1 0.0000 0.0000 0.5000 x1  6 Ta 2.99, 6 Sn 3.13
C1 0.3333 0.6667 0.2349 x2  6 Ta 2.20

Properties
Spin magnetization, μB per formula unit: 1.408
Electronic total energy, eV/atom: -10.05

A geometry-optimized Y4FeSnC2 structure, computed with PBE-GGA.

Cell: 3.5969 3.5969 15.0851 Å, 90.00 90.00 120.00°
Closest atoms and distances in Å follow each position.
Space group P-6m2 (No. 187)
Unique sites:
Y1 0.0000 0.0000 0.1441 x2  3 C 2.50
Y2 0.3333 0.6667 0.3240 x2  3 C 2.46
Fe1 0.3333 0.6667 0.0000 x1  6 Y 3.01
Sn1 0.0000 0.0000 0.5000 x1  6 Y 3.37, 6 Sn 3.60
C1 0.6667 0.3333 0.2360 x2  6 Y 2.46-2.50

Properties
Spin magnetization, μB per formula unit: 2.051
Electronic total energy, eV/atom: -7.27

A geometry-optimized Zr4FeSnC2 structure, computed with PBE-GGA.

Cell: 3.3337 3.3337 14.0923 Å, 90.00 90.00 120.00°
Closest atoms and distances in Å follow each position.
Space group P-6m2 (No. 187)
Unique sites:
Zr1 0.0000 0.0000 0.1404 x2  3 C 2.37
Zr2 0.3333 0.6667 0.3256 x2  3 C 2.28
Fe1 0.3333 0.6667 0.0000 x1  6 Zr 2.76
Sn1 0.0000 0.0000 0.5000 x1  6 Zr 3.12, 6 Sn 3.33
C1 0.6667 0.3333 0.2386 x2  6 Zr 2.28-2.37

Properties
Spin magnetization, μB per formula unit: 1.417
Electronic total energy, eV/atom: -8.64

A geometry-optimized SrFeC3 structure, computed with PBE-GGA.

Cell: 4.6354 11.2444 5.5613 Å, 90.00 90.00 90.00°
Closest atoms and distances in Å follow each position.
Space group Cmcm (No. 63)
Unique sites:
Sr1 0.0000 0.1224 0.2500 x4  10 C 2.89-3.03, 1 Fe 3.22
Fe1 0.0000 0.4085 0.2500 x4  4 C 1.73-1.85
C1 0.0000 0.5000 0.0000 x4  2 Fe 1.73
C2 0.1385 0.1623 0.7500 x8  1 C 1.28

Properties
Spin magnetization, μB per formula unit: 0.002
Electronic total energy, eV/atom: -7.33

A geometry-optimized Ta2FeC structure, computed with PBE-GGA.

Cell: 5.1741 7.1673 5.4698 Å, 90.00 90.00 90.00°
Closest atoms and distances in Å follow each position.
Space group Pnma (No. 62)
Unique sites:
Ta1 0.2366 0.0512 0.1179 x8  3 C 2.37-2.42, 1 Fe 2.55
Fe1 0.0283 0.2500 0.7252 x4  1 C 2.00
C1 0.1359 0.7500 0.9434 x4  1 Fe 2.00

Properties
Spin magnetization, μB per formula unit: 0.006
Electronic total energy, eV/atom: -10.36

A geometry-optimized Ta4FeC3 structure, computed with PBE-GGA.

Cell: 3.1212 3.1212 23.2603 Å, 90.00 90.00 120.00°
Closest atoms and distances in Å follow each position.
Space group P6_3/mmc (No. 194)
Unique sites:
Ta1 0.0000 0.0000 0.1674 x4  3 C 2.19
Ta2 0.3333 0.6667 0.0571 x4  6 C 2.23-2.24
Fe1 0.3333 0.6667 0.2500 x2  6 Ta 2.63
C1 0.0000 0.0000 0.0000 x2  6 Ta 2.24
C2 0.3333 0.6667 0.6136 x4  6 Ta 2.19-2.23

Properties
Spin magnetization, μB per formula unit: 1.273
Electronic total energy, eV/atom: -10.84

A geometry-optimized Ta2FeC structure, computed with PBE-GGA.

Cell: 9.2329 5.3210 13.5916 Å, 90.00 103.28 90.00°
Closest atoms and distances in Å follow each position.
Space group C2/c (No. 15)
Unique sites:
Ta1 0.0468 0.0835 0.3919 x8  3 C 2.24-2.28
Ta2 0.1137 0.4150 0.5917 x8  3 C 2.14-2.20
Ta3 0.2201 0.4162 0.9082 x8  3 C 2.14-2.20
Fe1 0.0000 0.4255 0.7500 x4  4 Ta 2.60, 4 Fe 2.66-2.67
Fe2 0.2437 0.1595 0.7495 x8  4 Ta 2.59-2.60, 4 Fe 2.66-2.67
C1 0.0799 0.2397 0.0000 x8  6 Ta 2.14-2.24
C2 0.2500 0.2500 0.5000 x4  6 Ta 2.15-2.28

Properties
Spin magnetization, μB per formula unit: 1.418
Electronic total energy, eV/atom: -10.58